# PmBeB

A relaxed structure of PmBeB (GGA-PBE, the Alexandria database).

Lattice parameters (Å, degrees): 3.606 3.606 4.036 90.00 90.00 120.00
Fractional coordinates of all 3 atoms:
Pm1 0.000 0.000 0.000
Be1 0.333 0.667 0.500
B1 0.667 0.333 0.500

Computed properties:
energy relative to the lowest polymorph listed for this composition: 0 meV/atom
DFT formation energy: -0.06 eV/atom
M_tot: 0.1 μB/f.u.
total energy: -5.107 eV/atom